1.
# PBE-GGA Dy3ZnGa3, relaxed
data_Dy3ZnGa3
_space_group_name_H-M_alt 'C 1 2/m 1'
_space_group_IT_number 12
_space_group_name_Hall '-C 2y'
_cell_length_a 10.7149
_cell_length_b 4.3810
_cell_length_c 14.1488
_cell_angle_alpha 90.00
_cell_angle_beta 110.13
_cell_angle_gamma 90.00
loop_
_atom_site_label
_atom_site_fract_x
_atom_site_fract_y
_atom_site_fract_z
Dy1 0.0387 0.0000 0.3815
Dy2 0.1015 0.0000 0.9210
Dy3 0.2431 0.0000 0.2214
Zn1 0.2466 0.5000 0.3929
Ga1 0.0346 0.5000 0.2323
Ga2 0.1130 0.5000 0.0741
Ga3 0.1298 0.5000 0.5458
# * energy: -28.34 eV/f.u.
# * crystal system: monoclinic

2.
# PBE-GGA CsSnF3, relaxed
data_CsSnF3
_space_group_name_H-M_alt 'C 1 2/m 1'
_space_group_IT_number 12
_space_group_name_Hall '-C 2y'
_cell_length_a 15.2998
_cell_length_b 4.5581
_cell_length_c 7.1021
_cell_angle_alpha 90.00
_cell_angle_beta 100.84
_cell_angle_gamma 90.00
loop_
_atom_site_label
_atom_site_fract_x
_atom_site_fract_y
_atom_site_fract_z
Cs1 0.1165 0.0000 0.3953
Sn1 0.1327 0.5000 0.9056
F1 0.0058 0.5000 0.7420
F2 0.1188 0.0000 0.8501
F3 0.1910 0.5000 0.6627
# * crystal system: monoclinic
# * ΔE_f (raw): -2.530 eV/atom

3.
# PBE-GGA AlZnRh, relaxed
data_AlZnRh
_space_group_name_H-M_alt 'C m c m'
_space_group_IT_number 63
_space_group_name_Hall '-C 2c 2'
_cell_length_a 4.3582
_cell_length_b 7.4687
_cell_length_c 5.2422
_cell_angle_alpha 90.00
_cell_angle_beta 90.00
_cell_angle_gamma 90.00
loop_
_atom_site_label
_atom_site_fract_x
_atom_site_fract_y
_atom_site_fract_z
Al1 0.0000 0.1709 0.2500
Zn1 0.0000 0.5000 0.0000
Rh1 0.0000 0.1633 0.7500
# * E above lowest polymorph: 19 meV per atom
# * crystal system: orthorhombic